Record 1
Entry from Alexandria via LeMat-Bulk: a PBEsol-optimized structure of Ba2TeF2 (meta-GGA SCAN).

abc: 7.615 7.615 7.615
angles: 146.89 146.89 47.53
Fractional positions:
Ba 0.142 0.142 0.000
Ba 0.858 0.858 0.000
Te 0.500 0.500 0.000
F 0.250 0.750 0.500
F 0.750 0.250 0.500

Summary:
formation energy without anion corrections: -315 kJ/mol of atoms
DFT total energy: -27.9549 eV per atom

=====

Record 2
Entry from Alexandria via LeMat-Bulk: a PBEsol-optimized structure of CsBiSb2I (meta-GGA SCAN).

abc: 6.176 6.176 6.412
angles: 90.00 90.00 90.00
Fractional positions:
Cs 0.000 0.000 0.000
Bi 0.500 0.500 0.500
Sb 0.000 0.500 0.000
Sb 0.500 0.000 0.000
I 0.000 0.000 0.500

Summary:
formation energy without anion corrections: 123 kJ/mol of atoms
DFT total energy: -44.2588 eV per atom

=====

Record 3
Entry from Alexandria via LeMat-Bulk: a PBEsol-optimized structure of La2ReRh (meta-GGA SCAN).

abc: 3.014 3.014 9.626
angles: 90.00 90.00 90.00
Fractional positions:
La 0.000 0.000 0.000
La 0.500 0.500 0.361
Re 0.000 0.000 0.603
Rh 0.500 0.500 0.756

Summary:
formation energy from the elements: 4.20 kcal/mol of atoms
DFT total energy: -47.5875 eV per atom

=====

Record 4
Entry from Alexandria via LeMat-Bulk: a PBEsol-optimized structure of Sm10Se19 (meta-GGA SCAN).

abc: 9.078 9.078 16.621
angles: 90.00 90.00 90.00
Fractional positions:
Sm 0.044 0.347 0.119
Sm 0.053 0.352 0.607
Sm 0.148 0.053 0.893
Sm 0.153 0.044 0.381
Sm 0.250 0.750 0.117
Sm 0.250 0.750 0.617
Sm 0.347 0.456 0.381
Sm 0.352 0.447 0.893
Sm 0.447 0.148 0.607
Sm 0.456 0.153 0.119
Sm 0.544 0.847 0.881
Sm 0.553 0.852 0.393
Sm 0.648 0.553 0.107
Sm 0.653 0.544 0.619
Sm 0.750 0.250 0.383
Sm 0.750 0.250 0.883
Sm 0.847 0.956 0.619
Sm 0.852 0.947 0.107
Sm 0.947 0.648 0.393
Sm 0.956 0.653 0.881
Se 0.030 0.831 0.250
Se 0.049 0.348 0.430
Se 0.052 0.351 0.937
Se 0.063 0.877 0.751
Se 0.123 0.563 0.251
Se 0.149 0.052 0.563
Se 0.152 0.049 0.070
Se 0.169 0.530 0.750
Se 0.250 0.250 0.250
Se 0.250 0.750 0.436
Se 0.250 0.750 0.936
Se 0.331 0.970 0.750
Se 0.348 0.451 0.070
Se 0.351 0.448 0.563
Se 0.377 0.937 0.251
Se 0.437 0.623 0.751
Se 0.448 0.149 0.937
Se 0.451 0.152 0.430
Se 0.470 0.669 0.250
Se 0.530 0.331 0.750
Se 0.549 0.848 0.570
Se 0.552 0.851 0.063
Se 0.563 0.377 0.249
Se 0.623 0.063 0.749
Se 0.649 0.552 0.437
Se 0.652 0.549 0.930
Se 0.669 0.030 0.250
Se 0.750 0.250 0.064
Se 0.750 0.250 0.564
Se 0.750 0.750 0.750
Se 0.831 0.470 0.250
Se 0.848 0.951 0.930
Se 0.851 0.948 0.437
Se 0.877 0.437 0.749
Se 0.937 0.123 0.249
Se 0.948 0.649 0.063
Se 0.951 0.652 0.570
Se 0.970 0.169 0.750

Summary:
formation energy without anion corrections: -183 kJ/mol of atoms
DFT total energy: -30.3777 eV per atom

=====

Record 5
Entry from Alexandria via LeMat-Bulk: a PBEsol-optimized structure of FeTe2Pb (meta-GGA SCAN).

abc: 6.246 6.246 6.246
angles: 139.50 139.50 58.62
Fractional positions:
Fe 0.000 0.000 0.000
Te 0.250 0.750 0.500
Te 0.500 0.500 0.000
Pb 0.750 0.250 0.500

Summary:
formation energy without anion corrections: 43 kJ/mol of atoms
DFT total energy: -41.6548 eV per atom

=====

Record 6
Entry from Alexandria via LeMat-Bulk: a PBEsol-optimized structure of KTaP4O13 (meta-GGA SCAN).

abc: 7.120 8.472 18.290
angles: 90.00 90.00 90.00
Fractional positions:
K 0.239 0.206 0.021
K 0.261 0.794 0.521
K 0.739 0.294 0.979
K 0.761 0.706 0.479
Ta 0.234 0.780 0.793
Ta 0.266 0.220 0.293
Ta 0.734 0.720 0.207
Ta 0.766 0.280 0.707
P 0.069 0.793 0.074
P 0.073 0.390 0.570
P 0.095 0.841 0.322
P 0.097 0.397 0.832
P 0.403 0.603 0.332
P 0.405 0.159 0.822
P 0.427 0.610 0.070
P 0.431 0.207 0.574
P 0.569 0.707 0.926
P 0.573 0.110 0.430
P 0.595 0.659 0.678
P 0.597 0.103 0.168
P 0.903 0.897 0.668
P 0.905 0.341 0.178
P 0.927 0.890 0.930
P 0.931 0.293 0.426
O 0.006 0.267 0.509
O 0.022 0.831 0.859
O 0.041 0.556 0.551
O 0.050 0.836 0.400
O 0.071 0.298 0.230
O 0.080 0.836 0.710
O 0.087 0.389 0.912
O 0.101 0.247 0.380
O 0.142 0.562 0.799
O 0.161 0.944 0.089
O 0.176 0.000 0.293
O 0.207 0.644 0.080
O 0.244 0.712 0.295
O 0.256 0.288 0.795
O 0.293 0.356 0.580
O 0.324 0.000 0.793
O 0.339 0.056 0.589
O 0.358 0.438 0.299
O 0.399 0.753 0.880
O 0.413 0.611 0.412
O 0.420 0.164 0.210
O 0.429 0.702 0.730
O 0.450 0.164 0.900
O 0.459 0.444 0.051
O 0.478 0.169 0.359
O 0.494 0.733 0.009
O 0.506 0.233 0.491
O 0.522 0.669 0.141
O 0.541 0.944 0.449
O 0.550 0.664 0.600
O 0.571 0.202 0.770
O 0.580 0.664 0.290
O 0.587 0.111 0.088
O 0.601 0.253 0.620
O 0.642 0.938 0.201
O 0.661 0.556 0.911
O 0.676 0.500 0.707
O 0.707 0.856 0.920
O 0.744 0.788 0.705
O 0.756 0.212 0.205
O 0.793 0.144 0.420
O 0.824 0.500 0.207
O 0.839 0.444 0.411
O 0.858 0.062 0.701
O 0.899 0.747 0.120
O 0.913 0.889 0.588
O 0.920 0.336 0.790
O 0.929 0.798 0.270
O 0.950 0.336 0.100
O 0.959 0.056 0.949
O 0.978 0.331 0.641
O 0.994 0.767 0.991

Summary:
formation energy without anion corrections: -245 kJ/mol of atoms
DFT total energy: -12.9373 eV per atom

=====

Record 7
Entry from Alexandria via LeMat-Bulk: a PBEsol-optimized structure of Nb3SiIr (meta-GGA SCAN).

abc: 4.530 4.530 4.530
angles: 90.00 90.00 90.00
Fractional positions:
Nb 0.000 0.000 0.500
Nb 0.000 0.500 0.000
Nb 0.500 0.000 0.000
Si 0.000 0.000 0.000
Ir 0.500 0.500 0.500

Summary:
formation energy without anion corrections: 70 kJ/mol of atoms
DFT total energy: -35.3779 eV per atom

=====

Record 8
Entry from Alexandria via LeMat-Bulk: a PBEsol-optimized structure of BaHfSiSb2 (meta-GGA SCAN).

abc: 5.862 5.862 5.531
angles: 90.00 90.00 90.00
Fractional positions:
Ba 0.000 0.000 0.000
Hf 0.000 0.000 0.500
Si 0.500 0.500 0.500
Sb 0.000 0.500 0.000
Sb 0.500 0.000 0.000

Summary:
formation energy without anion corrections: 202 kJ/mol of atoms
DFT total energy: -35.2553 eV per atom

=====

Which of these has the lowest DFT total energy?
La2ReRh

=====

Which of these has the lowest DFT total energy?
La2ReRh

=====

Which of these has the lowest DFT total energy?
La2ReRh

=====

DFT total energy of number 6 (KTaP4O13)?
-12.9373 eV per atom